# 1
Crystalline Co3Br2 at its relaxed geometry, computed with PBE.

Calculated values
**Crystal system**: trigonal
**Symmetry**: P-3m1
**Energy relative to the elements, uncorrected**: 3.1 eV/f.u.
**DOS(E_F)**: 2.33 states/eV/cell

Unit cell a=3.822 b=3.822 c=7.203 alpha=90.00 beta=90.00 gamma=120.00
Last column: magnetic moment on the atom in μB.
Fractional coordinates of all 5 atoms:
Co (0.667, 0.333, 0.530)  1.64
Br (0.667, 0.333, 0.190)  0.06
Co (0.333, 0.667, 0.470)  1.64
Br (0.333, 0.667, 0.810)  0.06
Co (0.000, 0.000, 0.000)  1.77



# 2
Crystalline CoBr2 at its relaxed geometry, computed with PBE.

Calculated values
**Crystal system**: cubic
**Symmetry**: Fm-3m
**Energy relative to the elements, uncorrected**: 0.4 eV/f.u.
**DOS(E_F)**: 0.09 states/eV/cell

Unit cell a=4.616 b=4.616 c=4.616 alpha=60.00 beta=60.00 gamma=60.00
Last column: magnetic moment on the atom in μB.
Fractional coordinates of all 3 atoms:
Co (0.000, 0.000, 0.000)  2.39
Br (0.750, 0.750, 0.750)  0.25
Br (0.250, 0.250, 0.250)  0.25



# 3
Crystalline CoBr2 at its relaxed geometry, computed with PBE.

Calculated values
**Crystal system**: orthorhombic
**Symmetry**: Pnma
**Energy relative to the elements, uncorrected**: -0.7 eV/f.u.
**DOS(E_F)**: 3.64 states/eV/cell

Unit cell a=3.589 b=12.498 c=7.896 alpha=90.00 beta=90.00 gamma=90.00
Last column: magnetic moment on the atom in μB.
Fractional coordinates of all 12 atoms:
Co (0.250, 0.603, 0.470)  2.38
Co (0.250, 0.103, 0.030)  2.38
Br (0.750, 0.512, 0.284)  0.24
Br (0.250, 0.268, 0.464)  0.21
Br (0.750, 0.232, 0.964)  0.21
Co (0.750, 0.897, 0.970)  2.38
Br (0.250, 0.768, 0.036)  0.21
Br (0.250, 0.488, 0.716)  0.24
Br (0.750, 0.732, 0.536)  0.21
Br (0.750, 0.012, 0.216)  0.24
Br (0.250, 0.988, 0.784)  0.24
Co (0.750, 0.397, 0.530)  2.38



# 4
Crystalline CoBr5 at its relaxed geometry, computed with PBE.

Calculated values
**Crystal system**: orthorhombic
**Symmetry**: Cmmm
**Energy relative to the elements, uncorrected**: 0.4 eV/f.u.
**DOS(E_F)**: 5.75 states/eV/cell

Unit cell a=6.929 b=6.929 c=8.800 alpha=90.00 beta=90.00 gamma=149.84
Last column: magnetic moment on the atom in μB.
Fractional coordinates of all 6 atoms:
Br (0.333, 0.667, 0.500)  0.00
Br (0.121, 0.879, 0.000)  0.07
Br (0.879, 0.121, 0.000)  0.07
Br (0.667, 0.333, 0.500)  0.00
Br (0.000, 0.000, 0.500)  0.00
Co (0.500, 0.500, 0.000)  1.98



# 5
Crystalline Co2Br at its relaxed geometry, computed with PBE.

Calculated values
**Crystal system**: orthorhombic
**Distance to the lowest polymorph of the same formula**: 402 meV/atom
**Symmetry**: Pnma
**Energy relative to the elements, uncorrected**: 1.2 eV/f.u.
**DOS(E_F)**: 11.67 states/eV/cell

Unit cell a=3.475 b=7.590 c=9.831 alpha=90.00 beta=90.00 gamma=90.00
Last column: magnetic moment on the atom in μB.
Fractional coordinates of all 12 atoms:
Co (0.250, 0.406, 0.068)  1.91
Co (0.750, 0.094, 0.568)  1.91
Br (0.250, 0.608, 0.341)  0.08
Co (0.750, 0.056, 0.339)  1.94
Co (0.250, 0.906, 0.432)  1.91
Co (0.750, 0.556, 0.161)  1.94
Co (0.250, 0.944, 0.661)  1.94
Co (0.750, 0.594, 0.932)  1.91
Br (0.250, 0.108, 0.159)  0.08
Co (0.250, 0.444, 0.839)  1.94
Br (0.750, 0.392, 0.659)  0.08
Br (0.750, 0.892, 0.841)  0.08



# 6
Crystalline CoBr2 at its relaxed geometry, computed with PBE.

Calculated values
**Crystal system**: trigonal
**Symmetry**: P-3m1
**Energy relative to the elements, uncorrected**: -0.8 eV/f.u.
**DOS(E_F)**: 3.94 states/eV/cell

Unit cell a=3.727 b=3.727 c=6.931 alpha=90.01 beta=90.00 gamma=120.00
Last column: magnetic moment on the atom in μB.
Fractional coordinates of all 3 atoms:
Br (0.667, 0.333, 0.207)  0.20
Br (0.333, 0.667, 0.793)  0.20
Co (0.000, 0.000, 0.000)  2.44